Record 1
First-principles (PBE) data for an optimized crystal structure of LiNb2Zn, as listed in Alexandria.

Calculated values
crystal system: tetragonal
total magnetic moment: 0.00 μB/cell
ΔH_f (0 K): 47 kJ/mol of atoms
theoretical density: 6335 kg/m3
space group: No. 122

a b c (Å): 7.2923 7.2923 5.0899
angles (deg): 90.00 90.00 90.00
Last column: nearest neighbours and their distance in Å.
Sites, in units of the cell vectors:
Li (0.0000, 0.0000, 0.0000)  2 Zn 2.54, 4 Nb 2.66
Li (0.0000, 0.5000, 0.2500)  2 Zn 2.54, 4 Nb 2.66
Li (0.5000, 0.0000, 0.7500)  2 Zn 2.54, 4 Nb 2.66
Li (0.5000, 0.5000, 0.5000)  2 Zn 2.54, 4 Nb 2.66
Nb (0.2500, 0.2498, 0.3750)  2 Nb 2.54, 2 Zn 2.65, 2 Li 2.66
Nb (0.2500, 0.2502, 0.8750)  2 Nb 2.54, 2 Zn 2.65, 2 Li 2.66
Nb (0.2502, 0.7500, 0.1250)  2 Nb 2.54, 2 Zn 2.65, 2 Li 2.66
Nb (0.2498, 0.7500, 0.6250)  2 Nb 2.54, 2 Zn 2.65, 2 Li 2.66
Nb (0.7498, 0.2500, 0.1250)  2 Nb 2.54, 2 Zn 2.65, 2 Li 2.66
Nb (0.7502, 0.2500, 0.6250)  2 Nb 2.54, 2 Zn 2.65, 2 Li 2.66
Nb (0.7500, 0.7502, 0.3750)  2 Nb 2.54, 2 Zn 2.65, 2 Li 2.66
Nb (0.7500, 0.7498, 0.8750)  2 Nb 2.54, 2 Zn 2.65, 2 Li 2.66
Zn (0.0000, 0.0000, 0.5000)  2 Li 2.54, 4 Nb 2.65
Zn (0.0000, 0.5000, 0.7500)  2 Li 2.54, 4 Nb 2.65
Zn (0.5000, 0.0000, 0.2500)  2 Li 2.54, 4 Nb 2.65
Zn (0.5000, 0.5000, 0.0000)  2 Li 2.54, 4 Nb 2.65

***

Record 2
First-principles (PBE) data for an optimized crystal structure of Ta2AgMo, as listed in Alexandria.

Calculated values
crystal system: tetragonal
total magnetic moment: 0.00 μB/cell
ΔH_f (0 K): 79 kJ/mol of atoms
theoretical density: 12509 kg/m3
space group: No. 122

a b c (Å): 7.3220 7.3220 5.6029
angles (deg): 90.00 90.00 90.00
Last column: nearest neighbours and their distance in Å.
Sites, in units of the cell vectors:
Ta (0.2377, 0.2500, 0.1250)  2 Mo 2.62, 2 Ag 2.74, 2 Ta 2.81
Ta (0.2500, 0.7377, 0.3750)  2 Mo 2.62, 2 Ag 2.74, 2 Ta 2.81
Ta (0.2500, 0.7623, 0.8750)  2 Mo 2.62, 2 Ag 2.74, 2 Ta 2.81
Ta (0.2623, 0.2500, 0.6250)  2 Mo 2.62, 2 Ag 2.74, 2 Ta 2.81
Ta (0.7377, 0.7500, 0.6250)  2 Mo 2.62, 2 Ag 2.74, 2 Ta 2.81
Ta (0.7500, 0.2377, 0.8750)  2 Mo 2.62, 2 Ag 2.74, 2 Ta 2.81
Ta (0.7500, 0.2623, 0.3750)  2 Mo 2.62, 2 Ag 2.74, 2 Ta 2.81
Ta (0.7623, 0.7500, 0.1250)  2 Mo 2.62, 2 Ag 2.74, 2 Ta 2.81
Ag (0.0000, 0.0000, 0.5000)  4 Ta 2.74, 2 Mo 2.80
Ag (0.0000, 0.5000, 0.7500)  4 Ta 2.74, 2 Mo 2.80
Ag (0.5000, 0.0000, 0.2500)  4 Ta 2.74, 2 Mo 2.80
Ag (0.5000, 0.5000, 0.0000)  4 Ta 2.74, 2 Mo 2.80
Mo (0.0000, 0.0000, 0.0000)  4 Ta 2.62, 2 Ag 2.80
Mo (0.0000, 0.5000, 0.2500)  4 Ta 2.62, 2 Ag 2.80
Mo (0.5000, 0.0000, 0.7500)  4 Ta 2.62, 2 Ag 2.80
Mo (0.5000, 0.5000, 0.5000)  4 Ta 2.62, 2 Ag 2.80

***

Question: Among the records above, which one has the highest ΔH_f (0 K)?
Answer: Ta2AgMo

***

Question: Which of these has the lowest ΔH_f (0 K)?
Answer: LiNb2Zn

***

Question: What is the formula in the second record?
Answer: Ta2AgMo